[1]
# MnCoNiCl2

Crystalline MnCoNiCl2 at its relaxed geometry (PBE, Alexandria).

Structure (POSCAR):
```
MnCoNiCl2
1.0
-2.521 -2.655 2.473
2.895 1.032 4.060
-2.618 3.416 0.999
Cl Ni Co Mn
2 1 1 1
Cartesian
-1.309 1.708 0.499
-1.260 -1.328 1.236
0.000 0.000 0.000
-1.122 0.896 3.766
1.448 0.516 2.030
```

Values from the calculation:
symmetry = No. 123
formation energy without anion corrections = 0.7448 eV per atom


[2]
# MnCo2OsCl

Crystalline MnCo2OsCl at its relaxed geometry (PBE, Alexandria).

Structure (POSCAR):
```
MnCo2OsCl
1.0
4.511 0.000 0.000
0.000 5.071 0.000
0.000 0.000 4.511
Co Cl Mn Os
2 1 1 1
Cartesian
2.256 0.000 0.000
0.000 0.000 2.256
2.256 2.536 2.256
0.000 2.536 0.000
0.000 0.000 0.000
```

Values from the calculation:
symmetry = No. 123
formation energy without anion corrections = 1.3298 eV per atom


[3]
# MnCoP2Cl

Crystalline MnCoP2Cl at its relaxed geometry (PBE, Alexandria).

Structure (POSCAR):
```
MnCoP2Cl
1.0
-0.362 -3.840 1.821
3.527 0.748 2.279
-2.794 2.003 3.668
P Mn Cl Co
2 1 1 1
Cartesian
1.764 0.374 1.139
-0.181 -1.920 0.911
0.000 0.000 0.000
-1.397 1.001 1.834
0.186 -0.544 3.884
```

Values from the calculation:
excess energy over the best structure of this formula in the dataset = 0.00 eV per formula unit
symmetry = No. 123
formation energy without anion corrections = 0.6869 eV per atom


[4]
# MnCoP2Cl

Crystalline MnCoP2Cl at its relaxed geometry (PBE, Alexandria).

Structure (POSCAR):
```
MnCoP2Cl
1.0
-2.035 2.352 2.895
-3.231 0.536 -2.707
-2.084 -3.910 1.712
P Co Mn Cl
2 1 1 1
Cartesian
-1.018 1.176 1.447
-1.615 0.268 -1.354
0.000 0.000 0.000
-3.675 -0.511 0.950
-1.042 -1.955 0.856
```

Values from the calculation:
excess energy over the best structure of this formula in the dataset = 1.17 eV per formula unit
symmetry = No. 123
formation energy without anion corrections = 0.9214 eV per atom


[5]
# Mn2CoPtCl

Crystalline Mn2CoPtCl at its relaxed geometry (PBE, Alexandria).

Structure (POSCAR):
```
Mn2CoPtCl
1.0
4.928 0.000 0.000
0.000 4.852 0.000
0.000 0.000 4.928
Pt Co Mn Cl
1 1 2 1
Cartesian
0.000 0.000 0.000
2.464 2.426 2.464
0.000 0.000 2.464
2.464 0.000 0.000
0.000 2.426 0.000
```

Values from the calculation:
symmetry = No. 123
formation energy without anion corrections = 1.1165 eV per atom


[6]
# RbMnCo2Cl8

Crystalline RbMnCo2Cl8 at its relaxed geometry (PBE, Alexandria).

Structure (POSCAR):
```
RbMnCo2Cl8
1.0
6.340 0.000 0.000
3.170 5.490 0.000
3.170 1.830 9.449
Co Cl Mn Rb
2 8 1 1
Cartesian
9.510 5.490 7.301
3.170 1.830 2.148
7.460 1.825 7.954
7.369 5.548 7.954
8.489 3.713 1.495
4.190 3.608 7.954
5.311 1.772 1.495
9.510 5.490 5.116
3.170 1.830 4.333
5.219 5.495 1.495
0.000 0.000 0.000
6.340 3.660 4.724
```

Values from the calculation:
symmetry = No. 148
formation energy without anion corrections = -0.9022 eV per atom


Asked for VASP energy across the records above, the calculation gives -4.41; -5.96; -5.10; -4.87; -5.55; -4.16 eV/atom in order.
Asked for magnetization across the records above, the calculation gives 6.78; 7.34; 1.11; 0.03; 11.25; 11.62 Bohr magnetons per cell in order.